[1]
First-principles (PBE) data for crystalline Pu4IrPd2Au at its relaxed geometry, as listed in Alexandria.

Lattice parameters (Å, degrees): 5.0010 5.0010 24.2821 90.00 90.00 120.00
Space group R-3m (No. 166, hexagonal axes)
Symmetry-distinct sites (fractional):
Pu (0.0000, 0.0000, 0.1175) x6
Pu (0.0000, 0.0000, 0.3684) x6
Ir (0.0000, 0.0000, 0.0000) x3
Pd (0.0000, 0.0000, 0.2436) x6
Au (0.0000, 0.0000, 0.5000) x3

Crystal system ... trigonal
Formation energy from the elements ... -0.43 eV per atom

---

[2]
First-principles (PBE) data for crystalline SrLi4Bi2 at its relaxed geometry, as listed in Alexandria.

Lattice parameters (Å, degrees): 8.548 8.548 4.794 90.00 90.00 90.00
Space group P4_2/mnm (No. 136)
Symmetry-distinct sites (fractional):
Sr (0.000, 0.000, 0.000) x2
Li (0.101, 0.339, 0.500) x8
Bi (0.215, 0.785, 0.500) x4

Crystal system ... tetragonal
Formation energy from the elements ... -0.63 eV per atom

---

[3]
First-principles (PBE) data for crystalline UNi4Au at its relaxed geometry, as listed in Alexandria.

Lattice parameters (Å, degrees): 6.945 6.945 6.945 90.00 90.00 90.00
Space group F-43m (No. 216)
Symmetry-distinct sites (fractional):
U (0.000, 0.000, 0.000) x4
Ni (0.125, 0.125, 0.625) x16
Au (0.250, 0.250, 0.250) x4

Crystal system ... cubic
Formation energy from the elements ... -0.30 eV per atom

---

[4]
First-principles (PBE) data for crystalline LiCaI2N at its relaxed geometry, as listed in Alexandria.

Lattice parameters (Å, degrees): 5.629 5.629 4.097 90.00 90.00 90.00
Space group P4/mmm (No. 123)
Symmetry-distinct sites (fractional):
Li (0.000, 0.000, 0.000) x1
Ca (0.500, 0.500, 0.500) x1
I (0.000, 0.500, 0.000) x2
N (0.000, 0.000, 0.500) x1

Distance to the lowest polymorph of the same formula ... 1.92 kcal/mol of atoms
Crystal system ... tetragonal
E_form (uncorrected) ... -0.88 eV/f.u.

---

[5]
First-principles (PBE) data for crystalline YCd2Hg at its relaxed geometry, as listed in Alexandria.

Lattice parameters (Å, degrees): 3.371 4.689 6.397 90.00 105.26 90.00
Space group Pm (No. 6)
Symmetry-distinct sites (fractional):
Y (0.000, 0.000, 0.000) x1
Cd (0.260, 0.000, 0.516) x1
Cd (0.658, 0.500, 0.313) x1
Hg (0.401, 0.500, 0.801) x1

Crystal system ... monoclinic
Formation energy from the elements ... -0.24 eV per atom

---

[6]
First-principles (PBE) data for crystalline BaEu2Pt at its relaxed geometry, as listed in Alexandria.

Lattice parameters (Å, degrees): 3.777 3.777 10.173 90.00 90.00 90.00
Space group P4/mmm (No. 123)
Symmetry-distinct sites (fractional):
Ba (0.000, 0.000, 0.000) x1
Eu (0.500, 0.500, 0.338) x2
Pt (0.000, 0.000, 0.500) x1

Distance to the lowest polymorph of the same formula ... 1.15 kcal/mol of atoms
Crystal system ... tetragonal
Formation energy from the elements ... -0.45 eV per atom

---

[7]
First-principles (PBE) data for crystalline Cs2YB2O6 at its relaxed geometry, as listed in Alexandria.

Lattice parameters (Å, degrees): 5.6404 5.6404 21.1598 90.00 90.00 120.00
Space group R-3m (No. 166, hexagonal axes)
Symmetry-distinct sites (fractional):
Cs (0.0000, 0.0000, 0.2137) x6
Y (0.0000, 0.0000, 0.0000) x3
B (0.0000, 0.0000, 0.3944) x6
O (0.0502, 0.5251, 0.2713) x18

Crystal system ... trigonal
E_form (uncorrected) ... -26.68 eV/f.u.

---

[8]
First-principles (PBE) data for crystalline SbTeAu2 at its relaxed geometry, as listed in Alexandria.

Lattice parameters (Å, degrees): 3.833 4.229 6.046 90.00 90.00 90.00
Space group Pmmm (No. 47)
Symmetry-distinct sites (fractional):
Sb (0.000, 0.000, 0.000) x1
Te (0.500, 0.000, 0.500) x1
Au (0.000, 0.500, 0.500) x1
Au (0.500, 0.500, 0.000) x1

Distance to the lowest polymorph of the same formula ... 4.95 kcal/mol of atoms
Crystal system ... orthorhombic
E_form (uncorrected) ... 0.71 eV/f.u.

---

[9]
First-principles (PBE) data for crystalline U2CN at its relaxed geometry, as listed in Alexandria.

Lattice parameters (Å, degrees): 4.912 4.912 9.821 90.00 90.00 90.00
Space group I4_1/amd (No. 141, origin choice 2)
Symmetry-distinct sites (fractional):
U (0.000, 0.250, 0.123) x8
C (0.000, 0.250, 0.375) x4
N (0.000, 0.250, 0.875) x4

Distance to the lowest polymorph of the same formula ... 0.00 kcal/mol of atoms
Crystal system ... tetragonal
E_form (uncorrected) ... -2.90 eV/f.u.

---

[10]
First-principles (PBE) data for crystalline Na3Tm3IO8 at its relaxed geometry, as listed in Alexandria.

Lattice parameters (Å, degrees): 12.095 6.675 6.686 90.00 123.23 90.00
Space group C2/m (No. 12)
Symmetry-distinct sites (fractional):
Na (0.000, 0.000, 0.000) x2
Na (0.250, 0.250, 0.000) x4
Tm (0.000, 0.500, 0.500) x2
Tm (0.250, 0.250, 0.500) x4
I (0.000, 0.000, 0.500) x2
O (0.024, 0.236, 0.310) x8
O (0.225, 0.500, 0.703) x4
O (0.245, 0.500, 0.276) x4

Crystal system ... monoclinic
E_form (uncorrected) ... -33.65 eV/f.u.

---

[11]
First-principles (PBE) data for crystalline NdHo2Pb2 at its relaxed geometry, as listed in Alexandria.

Lattice parameters (Å, degrees): 6.569 6.580 7.878 90.00 114.27 90.00
Space group C2/m (No. 12)
Symmetry-distinct sites (fractional):
Nd (0.000, 0.000, 0.000) x2
Ho (0.000, 0.250, 0.500) x4
Pb (0.105, 0.500, 0.205) x4

Crystal system ... monoclinic
Formation energy from the elements ... -0.29 eV per atom

---

[12]
First-principles (PBE) data for crystalline Nd8C3I3O at its relaxed geometry, as listed in Alexandria.

Lattice parameters (Å, degrees): 13.283 7.648 8.888 90.00 119.91 90.00
Space group C2/m (No. 12)
Symmetry-distinct sites (fractional):
Nd (0.026, 0.248, 0.325) x8
Nd (0.225, 0.000, 0.675) x4
Nd (0.227, 0.500, 0.675) x4
C (0.000, 0.000, 0.500) x2
C (0.250, 0.250, 0.500) x4
I (0.000, 0.500, 0.000) x2
I (0.250, 0.250, 0.000) x4
O (0.000, 0.500, 0.500) x2

Crystal system ... monoclinic
E_form (uncorrected) ... -12.79 eV/f.u.

---

[13]
First-principles (PBE) data for crystalline ReRu3 at its relaxed geometry, as listed in Alexandria.

Lattice parameters (Å, degrees): 2.736 8.684 4.755 90.00 90.00 90.00
Space group Imm2 (No. 44)
Symmetry-distinct sites (fractional):
Re (0.000, 0.000, 0.000) x2
Ru (0.000, 0.250, 0.670) x4
Ru (0.000, 0.500, 0.003) x2

Distance to the lowest polymorph of the same formula ... 0.86 kcal/mol of atoms
Crystal system ... orthorhombic
Formation energy from the elements ... -0.05 eV per atom

---

[14]
First-principles (PBE) data for crystalline CoTc at its relaxed geometry, as listed in Alexandria.

Lattice parameters (Å, degrees): 2.582 9.583 4.012 90.00 90.00 90.00
Space group Cmcm (No. 63)
Symmetry-distinct sites (fractional):
Co (0.000, 0.068, 0.250) x4
Tc (0.000, 0.336, 0.250) x4

Distance to the lowest polymorph of the same formula ... 1.20 kcal/mol of atoms
Crystal system ... orthorhombic
Formation energy from the elements ... 0.00 eV per atom

---

[15]
First-principles (PBE) data for crystalline LaCo2Hg at its relaxed geometry, as listed in Alexandria.

Lattice parameters (Å, degrees): 3.483 3.483 6.437 90.00 90.00 90.00
Space group P4/mmm (No. 123)
Symmetry-distinct sites (fractional):
La (0.000, 0.000, 0.000) x1
Co (0.500, 0.500, 0.311) x2
Hg (0.000, 0.000, 0.500) x1

Crystal system ... tetragonal
Formation energy from the elements ... 0.29 eV per atom

---

[16]
First-principles (PBE) data for crystalline Tl16In6Hg7 at its relaxed geometry, as listed in Alexandria.

Lattice parameters (Å, degrees): 15.294 15.294 15.294 90.00 90.00 90.00
Space group Fm-3m (No. 225)
Symmetry-distinct sites (fractional):
Tl (0.120, 0.120, 0.120) x32
Tl (0.155, 0.155, 0.345) x32
In (0.000, 0.000, 0.332) x24
Hg (0.000, 0.000, 0.000) x4
Hg (0.000, 0.250, 0.250) x24

Crystal system ... cubic
Formation energy from the elements ... 0.06 eV per atom

---

[17]
First-principles (PBE) data for crystalline Mn5In3 at its relaxed geometry, as listed in Alexandria.

Lattice parameters (Å, degrees): 7.8453 7.8453 5.2877 90.00 90.00 120.00
Space group P6_3/mcm (No. 193)
Symmetry-distinct sites (fractional):
Mn (0.0000, 0.2166, 0.2500) x6
Mn (0.3333, 0.6667, 0.0000) x4
In (0.0000, 0.3984, 0.7500) x6

Crystal system ... hexagonal
Formation energy from the elements ... 0.35 eV per atom

---

[18]
First-principles (PBE) data for crystalline Ta2TiW at its relaxed geometry, as listed in Alexandria.

Lattice parameters (Å, degrees): 4.599 4.599 3.256 90.00 90.00 90.00
Space group P4/mmm (No. 123)
Symmetry-distinct sites (fractional):
Ta (0.000, 0.500, 0.000) x2
Ti (0.000, 0.000, 0.500) x1
W (0.500, 0.500, 0.500) x1

Crystal system ... tetragonal
Formation energy from the elements ... -0.02 eV per atom

---

[19]
First-principles (PBE) data for crystalline LiLa2GaP at its relaxed geometry, as listed in Alexandria.

Lattice parameters (Å, degrees): 5.679 5.679 4.549 90.00 90.00 90.00
Space group P4/mmm (No. 123)
Symmetry-distinct sites (fractional):
Li (0.000, 0.000, 0.000) x1
La (0.000, 0.500, 0.500) x2
Ga (0.000, 0.000, 0.500) x1
P (0.500, 0.500, 0.000) x1

Crystal system ... tetragonal
Formation energy from the elements ... -0.18 eV per atom

---

[20]
First-principles (PBE) data for crystalline Li3Zn2H8 at its relaxed geometry, as listed in Alexandria.

Lattice parameters (Å, degrees): 4.9937 4.9937 16.0468 90.00 90.00 120.00
Space group R-3m (No. 166, hexagonal axes)
Symmetry-distinct sites (fractional):
Li (0.0000, 0.0000, 0.0000) x3
Li (0.0000, 0.0000, 0.1912) x6
Zn (0.0000, 0.0000, 0.4088) x6
H (0.0000, 0.0000, 0.3077) x6
H (0.0371, 0.5185, 0.7647) x18

Distance to the lowest polymorph of the same formula ... 0.63 kcal/mol of atoms
Crystal system ... trigonal

---

[21]
First-principles (PBE) data for crystalline Pm6ErTm6 at its relaxed geometry, as listed in Alexandria.

Lattice parameters (Å, degrees): 7.064 11.083 11.049 90.00 90.00 90.00
Space group Cmmm (No. 65)
Symmetry-distinct sites (fractional):
Pm (0.000, 0.000, 0.175) x4
Pm (0.000, 0.261, 0.000) x4
Pm (0.000, 0.358, 0.500) x4
Er (0.000, 0.000, 0.500) x2
Tm (0.000, 0.500, 0.197) x4
Tm (0.250, 0.250, 0.276) x8

Crystal system ... orthorhombic
Formation energy from the elements ... 0.22 eV per atom

---

[22]
First-principles (PBE) data for crystalline HfGe2AsIr at its relaxed geometry, as listed in Alexandria.

Lattice parameters (Å, degrees): 4.587 4.587 5.455 90.00 90.00 90.00
Space group P4/mmm (No. 123)
Symmetry-distinct sites (fractional):
Hf (0.000, 0.000, 0.000) x1
Ge (0.000, 0.500, 0.500) x2
As (0.500, 0.500, 0.000) x1
Ir (0.500, 0.500, 0.500) x1

Crystal system ... tetragonal
Formation energy from the elements ... 0.53 eV per atom

---

[23]
First-principles (PBE) data for crystalline CsSb3Pb at its relaxed geometry, as listed in Alexandria.

Lattice parameters (Å, degrees): 5.981 5.981 5.981 90.00 90.00 90.00
Space group Pm-3m (No. 221)
Symmetry-distinct sites (fractional):
Cs (0.000, 0.000, 0.000) x1
Sb (0.000, 0.500, 0.500) x3
Pb (0.500, 0.500, 0.500) x1

Distance to the lowest polymorph of the same formula ... 0.00 kcal/mol of atoms
Crystal system ... cubic
E_form (uncorrected) ... 1.95 eV/f.u.

---

Energy, record by record: -249.82; -43.07; -158.06; -16.22; -9.55; -30.33; -233.87; -13.11; -172.10; -184.48; -45.61; -176.42; -80.95; -69.85; -18.30; -218.21; -102.53; -44.63; -21.12; -103.98; -114.05; -30.03; -14.98 eV per cell